## CeYCu2 (GGA-PBE)

Data for a relaxed structure of CeYCu2.

Results
E: -5.263 eV/atom
Crystal system: cubic
Distance to the lowest polymorph of the same formula: 11.2 meV/atom

a b c (Å): 4.966 4.966 4.966
angles (deg): 60.00 60.00 60.00
Fractional positions:
Ce 0.000 0.000 0.000
Cu 0.750 0.750 0.750
Y 0.500 0.500 0.500
Cu 0.250 0.250 0.250

---

## CeY2Cu (GGA-PBE)

Data for a relaxed structure of CeY2Cu.

Results
E: -5.505 eV/atom
Crystal system: trigonal
Distance to the lowest polymorph of the same formula: 284.0 meV/atom

a b c (Å): 3.395 3.395 11.074
angles (deg): 81.18 81.18 60.00
Fractional positions:
Cu 0.500 0.500 0.500
Y 0.898 0.898 0.306
Ce 0.000 0.000 0.000
Y 0.102 0.102 0.694

---

## CeYCu2 (GGA-PBE)

Data for a relaxed structure of CeYCu2.

Results
E: -5.275 eV/atom
Crystal system: monoclinic
Distance to the lowest polymorph of the same formula: 0.0 meV/atom

a b c (Å): 4.107 3.868 10.935
angles (deg): 100.13 89.98 90.01
Fractional positions:
Ce 0.750 0.455 0.411
Cu 0.250 0.344 0.187
Cu 0.250 0.920 0.339
Cu 0.750 0.656 0.813
Y 0.250 0.193 0.887
Ce 0.250 0.545 0.589
Y 0.750 0.807 0.113
Cu 0.750 0.080 0.661